1.
AlCo2Br PBE-GGA optimized geometry; volume = 14.7 Å³/atom; energy above the most stable polymorph in this dataset = 0.635 eV per atom; Fermi-level density of states = 1.871 states/eV per atom; energy relative to the elements, uncorrected = 3.04 eV per formula unit; SG = F-43m, No. 216; ρ = 6.4 g cm⁻³; VASP energy = -4.148 eV/atom
1.0
-2.8673 -3.2789 -0.2099
-0.3619 -2.7963 3.3265
-3.5615 0.0535 2.5158
Co Al Br
2 1 1
Direct
0.0000 0.0000 0.0000
0.2500 0.2500 0.2500
0.5000 0.5000 0.5000
0.7500 0.7500 0.7500

=====

2.
AlCoBr2 PBE-GGA optimized geometry; volume = 30.9 Å³/atom; energy above the most stable polymorph in this dataset = 0.269 eV per atom; Fermi-level density of states = 0.187 states/eV per atom; energy relative to the elements, uncorrected = 0.03 eV per formula unit; SG = Imm2, No. 44; ρ = 3.3 g cm⁻³; VASP energy = -3.542 eV/atom
1.0
6.3902 -0.0888 0.0750
0.5067 6.3707 -0.0750
-1.3631 -5.4305 3.0821
Co Al Br
1 1 2
Direct
0.4797 0.4797 0.0000
0.2790 0.7790 0.5000
0.0710 0.0710 0.0000
0.6703 0.1703 0.5000

=====

3.
AlCoBr2 PBE-GGA optimized geometry; volume = 23.4 Å³/atom; energy above the most stable polymorph in this dataset = 0.000 eV per atom; Fermi-level density of states = 0.021 states/eV per atom; energy relative to the elements, uncorrected = -1.05 eV per formula unit; SG = R3m, No. 160; ρ = 4.4 g cm⁻³; VASP energy = -3.811 eV/atom
1.0
-6.8148 -3.6151 -5.3357
-7.8064 -4.6977 -2.2298
-8.6447 -1.5418 -3.2973
Co Al Br
1 1 2
Direct
0.4925 0.4925 0.4925
0.7637 0.7637 0.7637
0.0321 0.0321 0.0321
0.2118 0.2118 0.2118

=====

4.
AlCo2Br PBE-GGA optimized geometry; volume = 17.0 Å³/atom; energy above the most stable polymorph in this dataset = 0.110 eV per atom; Fermi-level density of states = 1.052 states/eV per atom; energy relative to the elements, uncorrected = 0.93 eV per formula unit; SG = P4mm, No. 99; ρ = 5.5 g cm⁻³; VASP energy = -4.673 eV/atom
1.0
3.0341 0.0497 0.0000
-0.0497 3.0341 0.0000
0.0000 0.0000 7.3785
Co Al Br
2 1 1
Direct
0.0000 0.0000 0.0399
0.5000 0.5000 0.2385
0.0000 0.0000 0.3926
0.5000 0.5000 0.8290

=====

5.
AlCo2Br PBE-GGA optimized geometry; volume = 17.5 Å³/atom; energy above the most stable polymorph in this dataset = 0.121 eV per atom; Fermi-level density of states = 0.633 states/eV per atom; energy relative to the elements, uncorrected = 0.98 eV per formula unit; SG = R3m, No. 160; ρ = 5.3 g cm⁻³; VASP energy = -4.662 eV/atom
1.0
6.1963 -0.4708 -0.2816
5.3566 3.1500 -0.2816
5.3566 1.2422 2.9083
Co Al Br
2 1 1
Direct
0.9646 0.9646 0.9646
0.2621 0.2621 0.2621
0.5333 0.5333 0.5333
0.7400 0.7400 0.7400

=====

6.
AlCo2Br PBE-GGA optimized geometry; volume = 14.1 Å³/atom; energy above the most stable polymorph in this dataset = 0.403 eV per atom; Fermi-level density of states = 1.056 states/eV per atom; energy relative to the elements, uncorrected = 2.11 eV per formula unit; SG = I-4m2, No. 119; ρ = 6.6 g cm⁻³; VASP energy = -4.380 eV/atom
1.0
-3.5941 -0.4107 -3.5865
1.2809 -0.2174 -4.9256
1.2972 -2.2073 4.4039
Co Al Br
2 1 1
Direct
0.0000 0.0000 0.0000
0.2500 0.7500 0.5000
0.5000 0.5000 0.0000
0.7500 0.2500 0.5000

=====

7.
AlCoBr2 PBE-GGA optimized geometry; volume = 22.8 Å³/atom; energy above the most stable polymorph in this dataset = 0.658 eV per atom; Fermi-level density of states = 1.314 states/eV per atom; energy relative to the elements, uncorrected = 1.58 eV per formula unit; SG = Pmmm, No. 47; ρ = 4.5 g cm⁻³; VASP energy = -3.153 eV/atom
1.0
-2.4765 0.4405 2.3925
-3.9318 -3.5824 -3.4101
1.3418 -3.3887 2.0129
Co Al Br
1 1 2
Direct
0.5000 0.0000 0.5000
0.0000 0.5000 0.5000
0.0000 0.0000 0.0000
0.5000 0.5000 0.0000

=====

8.
AlCoBr2 PBE-GGA optimized geometry; volume = 24.4 Å³/atom; energy above the most stable polymorph in this dataset = 0.242 eV per atom; Fermi-level density of states = 0.513 states/eV per atom; energy relative to the elements, uncorrected = -0.08 eV per formula unit; SG = I-42d, No. 122; ρ = 4.2 g cm⁻³; VASP energy = -3.569 eV/atom
1.0
9.1277 0.0000 0.0000
0.0000 9.1277 0.0000
4.5638 4.5638 2.3401
Co Al Br
2 2 4
Direct
0.0000 0.0000 0.0000
0.7500 0.2500 0.5000
0.5000 0.5000 0.0000
0.2500 0.7500 0.5000
0.7868 0.1250 0.2500
0.9632 0.6250 0.2500
0.3750 0.2132 0.7500
0.8750 0.0368 0.7500